Record 1
# Tb7Dy5 PBE relaxed
data_Tb7Dy5
_symmetry_space_group_name_H-M 'C 1 2/m 1'
_symmetry_Int_Tables_number 12
_cell_length_a 9.558
_cell_length_b 5.687
_cell_length_c 14.626
_cell_angle_alpha 90.00
_cell_angle_beta 103.34
_cell_angle_gamma 90.00
loop_
_symmetry_equiv_pos_as_xyz
'x,y,z'
'-x,-y,-z'
'-x,y,-z'
'x,-y,z'
'x+1/2,y+1/2,z'
'-x+1/2,-y+1/2,-z'
'-x+1/2,y+1/2,-z'
'x+1/2,-y+1/2,z'
loop_
_atom_site_label
_atom_site_fract_x
_atom_site_fract_y
_atom_site_fract_z
Tb1 0.000 0.000 0.000
Tb2 0.045 0.500 0.713
Tb3 0.184 0.000 0.581
Tb4 0.239 0.500 0.172
Dy1 0.000 0.500 0.500
Dy2 0.123 0.000 0.302
Dy3 0.143 0.500 0.939
# Electronic total energy (eV per atom): -4.43
# Energy above the lowest structure with this stoichiometry (eV per formula unit): 2.26
# Calculated volume (Å³ per atom): 32.23
# DOS(E_F) (states/eV/f.u.): 21.42
# DFT formation energy (eV/atom): 0.191



Record 2
# Hf3Bi PBE relaxed
data_Hf3Bi
_symmetry_space_group_name_H-M 'C m c m'
_symmetry_Int_Tables_number 63
_symmetry_space_group_name_Hall '-C 2c 2'
_cell_length_a 9.192
_cell_length_b 9.791
_cell_length_c 4.132
_cell_angle_alpha 90.00
_cell_angle_beta 90.00
_cell_angle_gamma 90.00
loop_
_atom_site_label
_atom_site_fract_x
_atom_site_fract_y
_atom_site_fract_z
Hf1 0.000 0.111 0.250
Hf2 0.247 0.380 0.250
Bi1 0.000 0.349 0.750
# Electronic total energy (eV per atom): -8.54
# Calculated volume (Å³ per atom): 23.24
# DOS(E_F) (states/eV/f.u.): 3.46
# DFT formation energy (eV/atom): -0.104



Record 3
# Ta4P PBE relaxed
data_Ta4P
_symmetry_space_group_name_H-M 'I 4/m m m'
_symmetry_Int_Tables_number 139
_symmetry_space_group_name_Hall '-I 4 2'
_cell_length_a 3.539
_cell_length_b 3.539
_cell_length_c 15.256
_cell_angle_alpha 90.00
_cell_angle_beta 90.00
_cell_angle_gamma 90.00
loop_
_atom_site_label
_atom_site_fract_x
_atom_site_fract_y
_atom_site_fract_z
Ta1 0.000 0.000 0.089
Ta2 0.000 0.500 0.250
P1 0.000 0.000 0.500
# Electronic total energy (eV per atom): -9.83
# Energy above the lowest structure with this stoichiometry (eV per formula unit): 2.00
# Calculated volume (Å³ per atom): 19.10
# DOS(E_F) (states/eV/f.u.): 5.49
# DFT formation energy (eV/atom): 0.730